Computed, not measured: BMoF2 after structural relaxation at the GGA+U level of DFT.

Calculated values
raw total energy	-4.134	eV per atom
energy above the most stable polymorph in this dataset	143	meV per atom
SG	I4_1/amd, No. 141
magnetization	10.58	Bohr magnetons per cell

Cell: 5.761 5.761 5.761 Å, 119.94 119.94 90.11°
Site moments in Bohr magnetons follow the coordinates.
Fractional coordinates of all 8 atoms:
F 0.375 0.626 0.751  0.03
F 0.376 0.625 0.251  0.03
Mo 0.750 0.250 0.500  4.30
F 0.875 0.624 0.249  0.03
Mo 0.000 0.000 0.000  4.30
F 0.374 0.125 0.749  0.03
B 0.500 0.500 0.000  -0.04
B 0.250 0.750 0.500  -0.04